First-principles (PBE) data for a geometry-optimized Nd15Sm4In structure, as listed in Alexandria via LeMat-Bulk.

a b c (Å): 5.129 5.129 25.968
angles (deg): 90.00 90.00 90.00
Fractional coordinates of all 20 atoms:
Nd 0.000 0.000 0.000
Nd 0.000 0.000 0.196
Nd 0.000 0.000 0.399
Nd 0.000 0.000 0.601
Nd 0.000 0.000 0.804
Nd 0.000 0.500 0.096
Nd 0.000 0.500 0.298
Nd 0.000 0.500 0.500
Nd 0.000 0.500 0.702
Nd 0.000 0.500 0.904
Nd 0.500 0.000 0.096
Nd 0.500 0.000 0.298
Nd 0.500 0.000 0.500
Nd 0.500 0.000 0.702
Nd 0.500 0.000 0.904
Sm 0.500 0.500 0.197
Sm 0.500 0.500 0.399
Sm 0.500 0.500 0.601
Sm 0.500 0.500 0.803
In 0.500 0.500 0.000

Values from the calculation:
- density of states at the Fermi level (states/eV per atom) = 1.378
- DFT total energy (Ha/atom) = -0.172

***

First-principles (PBE) data for a geometry-optimized Nd3SmIn4 structure, as listed in Alexandria via LeMat-Bulk.

a b c (Å): 3.864 3.864 15.468
angles (deg): 90.00 90.00 90.00
Fractional coordinates of all 8 atoms:
Nd 0.000 0.000 0.000
Nd 0.000 0.000 0.252
Nd 0.000 0.000 0.748
Sm 0.000 0.000 0.500
In 0.500 0.500 0.126
In 0.500 0.500 0.378
In 0.500 0.500 0.622
In 0.500 0.500 0.874

Values from the calculation:
- density of states at the Fermi level (states/eV per atom) = 0.612
- energy relative to the lowest polymorph listed for this composition (meV per atom) = 0